1.
# Tl2Ag2Sn PBE optimized geometry
# Total energy: -2.646 eV per atom
# Energy of formation: 0.242 eV/atom
# Polymorph energy (0 for the lowest one): 135.1 meV per atom
data_Tl2Ag2Sn
_symmetry_space_group_name_H-M 'I 4/m m m'
_symmetry_Int_Tables_number 139
_symmetry_space_group_name_Hall '-I 4 2'
_cell_length_a 4.3704
_cell_length_b 4.3704
_cell_length_c 13.6614
_cell_angle_alpha 90.00
_cell_angle_beta 90.00
_cell_angle_gamma 90.00
loop_
_atom_site_label
_atom_site_fract_x
_atom_site_fract_y
_atom_site_fract_z
Tl1 0.0000 0.5000 0.2500
Ag1 0.0000 0.0000 0.0975
Sn1 0.0000 0.0000 0.5000

2.
# Tl2VAgSn PBE optimized geometry
# Total energy: -3.546 eV per atom
# Energy of formation: 0.595 eV/atom
data_Tl2VAgSn
_symmetry_space_group_name_H-M 'P 4/m m m'
_symmetry_Int_Tables_number 123
_symmetry_space_group_name_Hall '-P 4 2'
_cell_length_a 5.3174
_cell_length_b 5.3174
_cell_length_c 5.1702
_cell_angle_alpha 90.00
_cell_angle_beta 90.00
_cell_angle_gamma 90.00
loop_
_atom_site_label
_atom_site_fract_x
_atom_site_fract_y
_atom_site_fract_z
Tl1 0.0000 0.5000 0.0000
V1 0.0000 0.0000 0.0000
Ag1 0.5000 0.5000 0.5000
Sn1 0.0000 0.0000 0.5000

3.
# Tm6Ag2Sn PBE optimized geometry
# Total energy: -4.336 eV per atom
# Energy of formation: -0.276 eV/atom
data_Tm6Ag2Sn
_symmetry_space_group_name_H-M 'I m m m'
_symmetry_Int_Tables_number 71
_symmetry_space_group_name_Hall '-I 2 2'
_cell_length_a 9.7336
_cell_length_b 9.7943
_cell_length_c 10.1357
_cell_angle_alpha 90.00
_cell_angle_beta 90.00
_cell_angle_gamma 90.00
loop_
_atom_site_label
_atom_site_fract_x
_atom_site_fract_y
_atom_site_fract_z
Tm1 0.0000 0.2168 0.1769
Tm2 0.1826 0.2273 0.5000
Tm3 0.2045 0.5000 0.2570
Ag1 0.0000 0.0000 0.3667
Ag2 0.1458 0.0000 0.0000
Sn1 0.0000 0.5000 0.0000
Sn2 0.0000 0.5000 0.5000

4.
# TmAg3Sn PBE optimized geometry
# Total energy: -3.526 eV per atom
# Energy of formation: -0.121 eV/atom
data_TmAg3Sn
_symmetry_space_group_name_H-M 'C m m m'
_symmetry_Int_Tables_number 65
_symmetry_space_group_name_Hall '-C 2 2'
_cell_length_a 4.6833
_cell_length_b 27.9148
_cell_length_c 3.3959
_cell_angle_alpha 90.00
_cell_angle_beta 90.00
_cell_angle_gamma 90.00
loop_
_atom_site_label
_atom_site_fract_x
_atom_site_fract_y
_atom_site_fract_z
Tm1 0.0000 0.1746 0.0000
Ag1 0.0000 0.0527 0.5000
Ag2 0.0000 0.2739 0.5000
Ag3 0.0000 0.4527 0.0000
Sn1 0.0000 0.3737 0.5000

5.
# Tm12AgSn6 PBE optimized geometry
# Total energy: -4.517 eV per atom
# Energy of formation: -0.279 eV/atom
data_Tm12AgSn6
_symmetry_space_group_name_H-M 'R -3'
_symmetry_Int_Tables_number 148
_symmetry_space_group_name_Hall '-R 3'
_cell_length_a 13.2448
_cell_length_b 13.2448
_cell_length_c 11.9415
_cell_angle_alpha 90.00
_cell_angle_beta 90.00
_cell_angle_gamma 120.00
loop_
_atom_site_label
_atom_site_fract_x
_atom_site_fract_y
_atom_site_fract_z
Tm1 0.0295 0.1965 0.3908
Tm2 0.0580 0.2084 0.8895
Ag1 0.0000 0.0000 0.0000
Sn1 0.0419 0.2723 0.6458

6.
# Tm3AgSn3 PBE optimized geometry
# Total energy: -4.609 eV per atom
# Energy of formation: -0.570 eV/atom
# Polymorph energy (0 for the lowest one): 0.0 meV per atom
data_Tm3AgSn3
_symmetry_space_group_name_H-M 'C 1 2/m 1'
_symmetry_Int_Tables_number 12
_cell_length_a 11.2541
_cell_length_b 4.5405
_cell_length_c 14.5720
_cell_angle_alpha 90.00
_cell_angle_beta 107.95
_cell_angle_gamma 90.00
loop_
_symmetry_equiv_pos_as_xyz
'x,y,z'
'-x,-y,-z'
'-x,y,-z'
'x,-y,z'
'x+1/2,y+1/2,z'
'-x+1/2,-y+1/2,-z'
'-x+1/2,y+1/2,-z'
'x+1/2,-y+1/2,z'
loop_
_atom_site_label
_atom_site_fract_x
_atom_site_fract_y
_atom_site_fract_z
Tm1 0.0316 0.0000 0.3821
Tm2 0.0968 0.0000 0.9214
Tm3 0.2306 0.0000 0.2238
Ag1 0.2294 0.5000 0.3847
Sn1 0.0088 0.5000 0.2296
Sn2 0.1306 0.5000 0.0742
Sn3 0.1352 0.5000 0.5514

7.
# Tm8AgSn2 PBE optimized geometry
# Total energy: -4.523 eV per atom
# Energy of formation: -0.284 eV/atom
data_Tm8AgSn2
_symmetry_space_group_name_H-M 'C 1 2/m 1'
_symmetry_Int_Tables_number 12
_cell_length_a 19.0215
_cell_length_b 4.9806
_cell_length_c 6.6679
_cell_angle_alpha 90.00
_cell_angle_beta 104.13
_cell_angle_gamma 90.00
loop_
_symmetry_equiv_pos_as_xyz
'x,y,z'
'-x,-y,-z'
'-x,y,-z'
'x,-y,z'
'x+1/2,y+1/2,z'
'-x+1/2,-y+1/2,-z'
'-x+1/2,y+1/2,-z'
'x+1/2,-y+1/2,z'
loop_
_atom_site_label
_atom_site_fract_x
_atom_site_fract_y
_atom_site_fract_z
Tm1 0.0208 0.0000 0.2721
Tm2 0.0923 0.5000 0.9732
Tm3 0.1523 0.5000 0.4975
Tm4 0.2146 0.0000 0.8187
Ag1 0.0000 0.5000 0.5000
Sn1 0.1828 0.0000 0.2585

8.
# Tm2Ag3Sn3 PBE optimized geometry
# Total energy: -4.051 eV per atom
# Energy of formation: -0.363 eV/atom
data_Tm2Ag3Sn3
_symmetry_space_group_name_H-M 'P m m m'
_symmetry_Int_Tables_number 47
_cell_length_a 4.5135
_cell_length_b 4.6472
_cell_length_c 8.5885
_cell_angle_alpha 90.00
_cell_angle_beta 90.00
_cell_angle_gamma 90.00
loop_
_symmetry_equiv_pos_as_xyz
'x,y,z'
'-x,-y,-z'
'-x,-y,z'
'x,y,-z'
'x,-y,-z'
'-x,y,z'
'-x,y,-z'
'x,-y,z'
loop_
_atom_site_label
_atom_site_fract_x
_atom_site_fract_y
_atom_site_fract_z
Tm1 0.0000 0.0000 0.2504
Ag1 0.0000 0.5000 0.0000
Ag2 0.5000 0.5000 0.2370
Sn1 0.0000 0.5000 0.5000
Sn2 0.5000 0.0000 0.0000
Sn3 0.5000 0.0000 0.5000